Here is La3Cu2Si4Ir2 after structural relaxation from OQMD via LeMat-Bulk. Energies are from GGA-PBE.

## Properties
Raw total energy, eV per cell: -141.46

Lattice parameters (Å, degrees): 4.1591 4.1960 24.5219 90.00 90.00 90.00
Closest atoms and distances in Å follow each position.
Space group Immm (No. 71)
Inequivalent atoms, fractional coordinates:
1 La 0.0000 0.0000 0.0000 [2 per cell]  4 Cu 3.18, 8 Si 3.19
2 La 0.0000 0.5000 0.3533 [4 per cell]  6 Si 3.18-3.21, 4 Cu 3.19, 4 Ir 3.26-3.30
3 Cu 0.0000 0.5000 0.0975 [4 per cell]  3 Si 2.39-2.46
4 Si 0.0000 0.0000 0.4505 [4 per cell]  2 Cu 2.39, 1 Si 2.43
5 Si 0.0000 0.5000 0.1977 [4 per cell]  4 Ir 2.45, 1 Cu 2.46
6 Ir 0.0000 0.0000 0.2492 [4 per cell]  4 Si 2.45